Below is Sr2ZnMo after structural relaxation, with properties calculated at the PBE level.

Results
DFT formation energy   0.5212 eV per atom
Density   4.482 g cm⁻³
SG   Amm2

Lattice parameters (Å, degrees): 4.471 4.776 6.309 67.74 90.00 90.00
Element x y z (fractional)
Zn: 0.000 0.681 0.513
Mo: 0.500 0.572 0.730
Sr: 0.000 0.979 0.916
Sr: 0.500 0.267 0.341